# LiRe3Br

A relaxed structure of LiRe3Br (GGA-PBE, the Alexandria database).

Lattice parameters (Å, degrees): 4.2670 4.2670 4.2670 90.00 90.00 90.00
Element x y z (fractional)
Re1 0.0000 0.5000 0.0000
Re2 0.0000 0.0000 0.5000
Re3 0.5000 0.0000 0.0000
Br1 0.5000 0.5000 0.5000
Li1 0.0000 0.0000 0.0000

Its crystal system is cubic. The total magnetic moment comes out at 0.0 μB per cell. For the energy relative to the elements, uncorrected, the calculation gives 2.231 eV per atom. The total energy is -5.956 eV/atom.

# LiRe4Br2

A relaxed structure of LiRe4Br2 (GGA-PBE, the Alexandria database).

Lattice parameters (Å, degrees): 4.3097 4.3097 6.8985 71.80 71.80 90.00
Element x y z (fractional)
Re1 0.8087 0.8087 0.3825
Re2 0.1913 0.1913 0.6175
Re3 0.0000 0.5000 0.0000
Re4 0.5000 0.0000 0.0000
Br1 0.6173 0.6173 0.7653
Br2 0.3827 0.3827 0.2347
Li1 0.0000 0.0000 0.0000

Its crystal system is tetragonal. The total magnetic moment comes out at 0.8 μB per cell. For the energy relative to the elements, uncorrected, the calculation gives 2.139 eV per atom. The total energy is -5.725 eV/atom.

# LiScRe2Br

A relaxed structure of LiScRe2Br (GGA-PBE, the Alexandria database).

Lattice parameters (Å, degrees): 4.2430 4.8207 4.2430 90.00 90.00 90.00
Element x y z (fractional)
Sc1 0.0000 0.5000 0.0000
Re1 0.0000 0.0000 0.5000
Re2 0.5000 0.0000 0.0000
Br1 0.5000 0.5000 0.5000
Li1 0.0000 0.0000 0.0000

Its crystal system is tetragonal. The total magnetic moment comes out at 0.0 μB per cell. For the energy relative to the elements, uncorrected, the calculation gives 1.445 eV per atom. The total energy is -5.518 eV/atom.

# LiReSe2Br

A relaxed structure of LiReSe2Br (GGA-PBE, the Alexandria database).

Lattice parameters (Å, degrees): 4.8042 4.8042 5.6307 90.00 90.00 90.00
Element x y z (fractional)
Re1 0.0000 0.0000 0.0000
Se1 0.0000 0.5000 0.0000
Se2 0.5000 0.0000 0.0000
Br1 0.0000 0.0000 0.5000
Li1 0.5000 0.5000 0.5000

Its crystal system is tetragonal. The total magnetic moment comes out at 0.0 μB per cell. For the energy relative to the elements, uncorrected, the calculation gives -0.005 eV per atom. The total energy is -4.606 eV/atom.

# LiReTc2Br

A relaxed structure of LiReTc2Br (GGA-PBE, the Alexandria database).

Lattice parameters (Å, degrees): 4.7328 5.5134 4.7328 90.00 90.00 90.00
Element x y z (fractional)
Re1 0.0000 0.0000 0.0000
Tc1 0.0000 0.0000 0.5000
Tc2 0.5000 0.0000 0.0000
Br1 0.0000 0.5000 0.0000
Li1 0.5000 0.5000 0.5000

Its crystal system is tetragonal. The total magnetic moment comes out at 3.4 μB per cell. For the energy relative to the elements, uncorrected, the calculation gives 1.361 eV per atom. The total energy is -5.993 eV/atom.

# LiTlReBr6

A relaxed structure of LiTlReBr6 (GGA-PBE, the Alexandria database).

Lattice parameters (Å, degrees): 6.9238 6.9238 14.4136 90.00 90.00 120.00
Element x y z (fractional)
Li1 0.3333 0.6667 0.2500
Li2 0.6667 0.3333 0.7500
Tl1 0.0000 0.0000 0.0000
Tl2 0.0000 0.0000 0.5000
Re1 0.6667 0.3333 0.2500
Re2 0.3333 0.6667 0.7500
Br1 0.6415 0.6187 0.1480
Br2 0.9771 0.3585 0.1480
Br3 0.3585 0.9771 0.6480
Br4 0.0229 0.6415 0.8520
Br5 0.3813 0.3585 0.3520
Br6 0.9771 0.6187 0.3520
Br7 0.6187 0.9771 0.8520
Br8 0.6415 0.0229 0.3520
Br9 0.0229 0.3813 0.6480
Br10 0.3813 0.0229 0.1480
Br11 0.6187 0.6415 0.6480
Br12 0.3585 0.3813 0.8520

Its crystal system is trigonal. The total magnetic moment comes out at 6.0 μB per cell. For the energy relative to the elements, uncorrected, the calculation gives -0.679 eV per atom. The total energy is -3.653 eV/atom.

# Li2VReBr

A relaxed structure of Li2VReBr (GGA-PBE, the Alexandria database).

Lattice parameters (Å, degrees): 4.1063 5.3100 4.1063 90.00 90.00 90.00
Element x y z (fractional)
Re1 0.0000 0.5000 0.0000
Li1 0.0000 0.0000 0.5000
Li2 0.5000 0.0000 0.0000
Br1 0.0000 0.0000 0.0000
V1 0.5000 0.5000 0.5000

Its crystal system is tetragonal. The total magnetic moment comes out at 0.6 μB per cell. For the energy relative to the elements, uncorrected, the calculation gives 1.057 eV per atom. The total energy is -4.356 eV/atom.

# Li2ZrReBr

A relaxed structure of Li2ZrReBr (GGA-PBE, the Alexandria database).

Lattice parameters (Å, degrees): 5.7452 4.7504 5.7452 90.00 90.00 90.00
Element x y z (fractional)
Re1 0.0000 0.5000 0.0000
Br1 0.5000 0.5000 0.5000
Zr1 0.0000 0.0000 0.0000
Li1 0.0000 0.0000 0.5000
Li2 0.5000 0.0000 0.0000

Its crystal system is tetragonal. The total magnetic moment comes out at 0.3 μB per cell. For the energy relative to the elements, uncorrected, the calculation gives 1.251 eV per atom. The total energy is -4.048 eV/atom.

# Li2RhBr6

A relaxed structure of Li2RhBr6 (GGA-PBE, the Alexandria database).

Lattice parameters (Å, degrees): 6.2662 6.2662 11.7510 90.00 90.00 90.00
Element x y z (fractional)
Li1 0.5000 0.5000 0.3308
Li2 0.5000 0.5000 0.6692
Li3 0.0000 0.0000 0.1692
Li4 0.0000 0.0000 0.8308
Rh1 0.5000 0.5000 0.0000
Rh2 0.0000 0.0000 0.5000
Br1 0.6910 0.6910 0.1574
Br2 0.6910 0.6910 0.8426
Br3 0.7173 0.7173 0.5000
Br4 0.7827 0.2173 0.0000
Br5 0.8090 0.1910 0.3426
Br6 0.8090 0.1910 0.6574
Br7 0.1910 0.8090 0.3426
Br8 0.1910 0.8090 0.6574
Br9 0.2173 0.7827 0.0000
Br10 0.2827 0.2827 0.5000
Br11 0.3090 0.3090 0.1574
Br12 0.3090 0.3090 0.8426

Its crystal system is tetragonal. The total magnetic moment comes out at 2.0 μB per cell. For the energy relative to the elements, uncorrected, the calculation gives -0.755 eV per atom. The total energy is -3.112 eV/atom.

# LiRhBr2

A relaxed structure of LiRhBr2 (GGA-PBE, the Alexandria database).

Lattice parameters (Å, degrees): 4.8205 4.8205 4.8205 60.00 60.00 60.00
Element x y z (fractional)
Rh1 0.5000 0.5000 0.5000
Br1 0.2500 0.2500 0.2500
Br2 0.7500 0.7500 0.7500
Li1 0.0000 0.0000 0.0000

Its crystal system is cubic. The total magnetic moment comes out at 2.0 μB per cell. For the energy relative to the elements, uncorrected, the calculation gives -0.194 eV per atom. The total energy is -3.347 eV/atom.

# LiRhBr2

A relaxed structure of LiRhBr2 (GGA-PBE, the Alexandria database).

Lattice parameters (Å, degrees): 8.0100 8.0100 8.0100 154.54 154.67 36.22
Element x y z (fractional)
Br1 0.0092 0.0092 0.0000
Br2 0.7519 0.2519 0.5000
Li1 0.5321 0.5321 0.0000
Rh1 0.2068 0.7068 0.5000

Its crystal system is orthorhombic. The total magnetic moment comes out at 0.2 μB per cell. For the energy relative to the elements, uncorrected, the calculation gives -0.385 eV per atom. The total energy is -3.538 eV/atom.